The following is a PBEsol calculation of a relaxed MoAs3 crystal, from the Alexandria database.

energy relative to the elements: 418.2 meV/atom

Cell lengths 4.868, 4.868, 4.868 Å; angles 130.16, 130.16, 73.16 degrees
Fractional positions:
Mo: 0.000 0.000 0.000
As: 0.250 0.750 0.500
As: 0.500 0.500 0.000
As: 0.750 0.250 0.500